[1]
# PrThRuRh

Crystalline PrThRuRh at its relaxed geometry (PBE, the Alexandria database).

Output
Energy of formation ... -0.45 eV/atom

abc: 7.1200 7.1200 7.1200
angles: 90.00 90.00 90.00
Closest atoms and distances in Å follow each position.
Space group F-43m (No. 216)
Symmetry-distinct sites (fractional):
Pr1 0.0000 0.0000 0.0000  4 Rh 3.08, 4 Ru 3.08
Th1 0.0000 0.0000 0.5000  4 Ru 3.08, 4 Rh 3.08
Ru1 0.2500 0.2500 0.2500  4 Th 3.08, 4 Pr 3.08
Rh1 0.2500 0.2500 0.7500  4 Th 3.08, 4 Pr 3.08

[2]
# PrYRuRh

Crystalline PrYRuRh at its relaxed geometry (PBE, the Alexandria database).

Output
Energy of formation ... -0.43 eV/atom

abc: 6.9810 6.9810 6.9810
angles: 90.00 90.00 90.00
Closest atoms and distances in Å follow each position.
Space group F-43m (No. 216)
Symmetry-distinct sites (fractional):
Pr1 0.0000 0.0000 0.0000  4 Rh 3.02, 4 Ru 3.02
Y1 0.0000 0.0000 0.5000  4 Ru 3.02, 4 Rh 3.02
Ru1 0.2500 0.2500 0.7500  4 Pr 3.02, 4 Y 3.02
Rh1 0.2500 0.2500 0.2500  4 Y 3.02, 4 Pr 3.02

[3]
# Pr4RhS3

Crystalline Pr4RhS3 at its relaxed geometry (PBE, the Alexandria database).

Output
Raw formation energy ... -1628 meV/atom

abc: 8.3858 11.7705 4.0866
angles: 90.00 90.00 90.00
Closest atoms and distances in Å follow each position.
Space group Cmmm (No. 65)
Symmetry-distinct sites (fractional):
Pr1 0.0000 0.2495 0.0000  5 S 2.93-2.95, 1 Rh 2.94
Pr2 0.2432 0.0000 0.5000  2 Rh 2.89, 4 S 2.94-2.97
Rh1 0.0000 0.0000 0.0000  6 Pr 2.89-2.94
S1 0.0000 0.5000 0.0000  6 Pr 2.95-2.97
S2 0.2500 0.2500 0.5000  6 Pr 2.93-2.94

[4]
# PrRhS

Crystalline PrRhS at its relaxed geometry (PBE, the Alexandria database).

Output
Raw formation energy ... -1255 meV/atom

abc: 4.2283 4.2283 3.8029
angles: 90.00 90.00 120.00
Closest atoms and distances in Å follow each position.
Space group P-6m2 (No. 187)
Symmetry-distinct sites (fractional):
Pr1 0.0000 0.0000 0.0000  6 S 3.09, 6 Rh 3.09
Rh1 0.6667 0.3333 0.5000  3 S 2.44
S1 0.3333 0.6667 0.5000  3 Rh 2.44

[5]
# PrSbRhS

Crystalline PrSbRhS at its relaxed geometry (PBE, the Alexandria database).

Output
Raw formation energy ... -1126 meV/atom

abc: 4.6881 4.6881 8.6089
angles: 90.00 90.00 90.00
Closest atoms and distances in Å follow each position.
Space group P4/nmm (No. 129, origin choice 2)
Symmetry-distinct sites (fractional):
Pr1 0.2500 0.2500 0.1768  4 S 2.80
Sb1 0.2500 0.2500 0.6430  4 Rh 2.65
Rh1 0.2500 0.7500 0.5000  4 Sb 2.65
S1 0.2500 0.7500 0.0000  4 Pr 2.80

[6]
# Pr4RhSe2S

Crystalline Pr4RhSe2S at its relaxed geometry (PBE, the Alexandria database).

Output
Raw formation energy ... -1561 meV/atom

abc: 7.3493 4.1517 7.4210
angles: 90.00 109.03 90.00
Closest atoms and distances in Å follow each position.
Space group P2/m (No. 10)
Symmetry-distinct sites (fractional):
Pr1 0.2371 0.0000 0.2297  2 Rh 2.88, 1 S 2.96, 3 Se 3.06-3.09
Pr2 0.2547 0.5000 0.7634  2 S 2.93, 1 Rh 2.95, 3 Se 3.04-3.06
Rh1 0.0000 0.5000 0.0000  6 Pr 2.88-2.95
Se1 0.0000 0.0000 0.5000  6 Pr 3.04-3.06
Se2 0.5000 0.5000 0.5000  6 Pr 3.06-3.09
S1 0.5000 0.0000 0.0000  6 Pr 2.93-2.96

[7]
# Pr3SbRh

Crystalline Pr3SbRh at its relaxed geometry (PBE, the Alexandria database).

Output
Raw formation energy ... -726 meV/atom

abc: 8.2915 4.3677 8.7524
angles: 90.00 106.93 90.00
Closest atoms and distances in Å follow each position.
Space group P2_1/m (No. 11)
Symmetry-distinct sites (fractional):
Pr1 0.0765 0.2500 0.2635  3 Rh 2.93-3.01
Pr2 0.3124 0.2500 0.9363  1 Rh 2.94, 2 Sb 3.29
Pr3 0.3264 0.7500 0.5922  3 Rh 3.01-3.33, 3 Sb 3.32-3.33
Sb1 0.3759 0.7500 0.2287  8 Pr 3.29-3.39
Rh1 0.0824 0.2500 0.6092  6 Pr 2.93-3.01, 2 Rh 2.96

[8]
# Pr2Sb2Rh3

Crystalline Pr2Sb2Rh3 at its relaxed geometry (PBE, the Alexandria database).

Output
Raw formation energy ... -759 meV/atom

abc: 11.4782 4.0244 7.3465
angles: 90.00 115.12 90.00
Closest atoms and distances in Å follow each position.
Space group C2/m (No. 12)
Symmetry-distinct sites (fractional):
Pr1 0.1222 0.0000 0.2637  6 Rh 3.09-3.33, 4 Sb 3.20-3.33
Sb1 0.1568 0.0000 0.7379  5 Rh 2.67-2.77
Rh1 0.0000 0.5000 0.5000  4 Sb 2.77, 2 Rh 2.90
Rh2 0.1090 0.5000 0.9363  3 Sb 2.67-2.74, 1 Rh 2.90

[9]
# Pr2Sb3Rh4

Crystalline Pr2Sb3Rh4 at its relaxed geometry (PBE, the Alexandria database).

Output
Raw formation energy ... -763 meV/atom

abc: 6.1934 16.0930 7.4756
angles: 90.00 90.00 90.00
Closest atoms and distances in Å follow each position.
Space group Cmce (No. 64)
Symmetry-distinct sites (fractional):
Pr1 0.0000 0.1025 0.0881  5 Rh 3.01-3.34, 2 Sb 3.24
Sb1 0.0000 0.0000 0.5000  6 Rh 2.67-2.77
Sb2 0.2500 0.2373 0.7500  5 Rh 2.70-2.76
Rh1 0.0000 0.1719 0.4849  5 Sb 2.73-2.77, 2 Rh 3.00
Rh2 0.2500 0.0697 0.7500  3 Sb 2.67-2.70

[10]
# Pr2Sb4Rh5

Crystalline Pr2Sb4Rh5 at its relaxed geometry (PBE, the Alexandria database).

Output
Raw formation energy ... -621 meV/atom

abc: 5.8178 10.2857 15.9435
angles: 90.00 90.00 90.00
Closest atoms and distances in Å follow each position.
Space group Fmmm (No. 69)
Symmetry-distinct sites (fractional):
Pr1 0.0000 0.0000 0.1297  6 Sb 3.33-3.52, 10 Rh 3.52-3.61
Sb1 0.0000 0.1581 0.3713  5 Rh 2.60-2.69
Rh1 0.0000 0.0000 0.5000  4 Sb 2.62
Rh2 0.2500 0.2500 0.0000  4 Sb 2.69, 4 Rh 2.91-2.95
Rh3 0.2500 0.2500 0.2500  4 Sb 2.60, 2 Rh 2.91

[11]
# Pr2Sb4Rh3

Crystalline Pr2Sb4Rh3 at its relaxed geometry (PBE, the Alexandria database).

Output
Raw formation energy ... -690 meV/atom

abc: 5.8310 10.5646 13.2526
angles: 90.00 90.00 90.00
Closest atoms and distances in Å follow each position.
Space group Fmmm (No. 69)
Symmetry-distinct sites (fractional):
Pr1 0.0000 0.0000 0.1330  8 Sb 3.28-3.61, 6 Rh 3.41-3.49, 1 Pr 3.53
Sb1 0.0000 0.1592 0.3453  3 Rh 2.65-2.69
Rh1 0.0000 0.0000 0.5000  4 Sb 2.65
Rh2 0.2500 0.2500 0.0000  4 Sb 2.69, 2 Rh 2.92

[12]
# Pr4Sb6Rh7

Crystalline Pr4Sb6Rh7 at its relaxed geometry (PBE, the Alexandria database).

Output
Raw formation energy ... -844 meV/atom

abc: 8.9607 8.9607 8.9607
angles: 90.00 90.00 90.00
Closest atoms and distances in Å follow each position.
Space group Im-3m (No. 229)
Symmetry-distinct sites (fractional):
Pr1 0.2500 0.2500 0.2500  6 Rh 3.17, 6 Sb 3.23
Sb1 0.0000 0.0000 0.3212  5 Rh 2.75-2.88
Rh1 0.0000 0.0000 0.0000  6 Sb 2.88
Rh2 0.0000 0.2500 0.5000  4 Sb 2.75